one:
The following is a DFT calculation (PBE) of an optimized crystal structure of KCaSc2.

Values from the calculation:
Fermi-level density of states   10.578 states/eV/cell
Space group   C2/m, No. 12
Crystal system   monoclinic

a = 12.306 Å, b = 3.426 Å, c = 6.811 Å
α = 90.00°, β = 94.87°, γ = 90.00°
Element x y z (fractional)
K (0.000, 0.000, 0.000)
K (0.500, 0.500, 0.000)
Ca (0.000, 0.500, 0.500)
Ca (0.500, 0.000, 0.500)
Sc (0.247, 0.000, 0.695)
Sc (0.253, 0.500, 0.305)
Sc (0.747, 0.500, 0.695)
Sc (0.753, 0.000, 0.305)

---

two:
The following is a DFT calculation (PBE) of an optimized crystal structure of KCaSc2.

Values from the calculation:
Fermi-level density of states   5.972 states/eV/cell
Space group   P2/m, No. 10
Crystal system   monoclinic

a = 3.405 Å, b = 6.012 Å, c = 7.155 Å
α = 90.00°, β = 101.13°, γ = 90.00°
Element x y z (fractional)
K (0.000, 0.000, 0.000)
Ca (0.500, 0.000, 0.500)
Sc (0.291, 0.500, 0.690)
Sc (0.709, 0.500, 0.310)

---

two comes first in stability; the runner-up is 0.006 eV/atom higher.

---

one:
The following is a DFT calculation (PBE) of an optimized crystal structure of KCaSc2.

Values from the calculation:
Fermi-level density of states   16.022 states/eV/cell
Space group   Cmmm, No. 65
Crystal system   orthorhombic

a = 6.938 Å, b = 11.550 Å, c = 3.424 Å
α = 90.00°, β = 90.00°, γ = 90.00°
Element x y z (fractional)
K (0.000, 0.000, 0.000)
K (0.500, 0.500, 0.000)
Ca (0.000, 0.500, 0.000)
Ca (0.500, 0.000, 0.000)
Sc (0.250, 0.250, 0.500)
Sc (0.250, 0.750, 0.500)
Sc (0.750, 0.250, 0.500)
Sc (0.750, 0.750, 0.500)

---

two:
The following is a DFT calculation (PBE) of an optimized crystal structure of KCaSc2.

Values from the calculation:
Fermi-level density of states   11.948 states/eV/cell
Space group   Cm, No. 8
Crystal system   monoclinic

a = 11.614 Å, b = 3.433 Å, c = 7.143 Å
α = 90.00°, β = 97.09°, γ = 90.00°
Element x y z (fractional)
K (0.000, 0.000, 0.000)
K (0.500, 0.500, 0.000)
Ca (0.262, 0.500, 0.287)
Ca (0.762, 0.000, 0.287)
Sc (0.016, 0.500, 0.530)
Sc (0.238, 0.000, 0.702)
Sc (0.516, 0.000, 0.530)
Sc (0.738, 0.500, 0.702)

---

three:
The following is a DFT calculation (PBE) of an optimized crystal structure of KCaSc2.

Values from the calculation:
Fermi-level density of states   8.471 states/eV/cell
Space group   P4/mmm, No. 123
Crystal system   tetragonal

a = 3.414 Å, b = 3.414 Å, c = 11.985 Å
α = 90.00°, β = 90.00°, γ = 90.00°
Element x y z (fractional)
K (0.000, 0.000, 0.000)
Ca (0.000, 0.000, 0.500)
Sc (0.500, 0.500, 0.279)
Sc (0.500, 0.500, 0.721)

---

two comes first in stability; the runner-up is 0.017 eV/atom higher.

---

one:
The following is a DFT calculation (PBE) of an optimized crystal structure of KCa2Si2.

Values from the calculation:
Fermi-level density of states   4.647 states/eV/cell
Space group   P4/mbm, No. 127
Crystal system   tetragonal

a = 9.098 Å, b = 9.098 Å, c = 3.196 Å
α = 90.00°, β = 90.00°, γ = 90.00°
Element x y z (fractional)
K (0.000, 0.000, 0.000)
K (0.500, 0.500, 0.000)
Ca (0.127, 0.373, 0.000)
Ca (0.373, 0.873, 0.000)
Ca (0.627, 0.127, 0.000)
Ca (0.873, 0.627, 0.000)
Si (0.170, 0.670, 0.500)
Si (0.330, 0.170, 0.500)
Si (0.670, 0.830, 0.500)
Si (0.830, 0.330, 0.500)

---

two:
The following is a DFT calculation (PBE) of an optimized crystal structure of KCa2Si2.

Values from the calculation:
Fermi-level density of states   4.253 states/eV/cell
Space group   P4/mbm, No. 127
Crystal system   tetragonal

a = 8.257 Å, b = 8.257 Å, c = 4.126 Å
α = 90.00°, β = 90.00°, γ = 90.00°
Element x y z (fractional)
K (0.000, 0.000, 0.000)
K (0.500, 0.500, 0.000)
Ca (0.171, 0.329, 0.500)
Ca (0.329, 0.829, 0.500)
Ca (0.671, 0.171, 0.500)
Ca (0.829, 0.671, 0.500)
Si (0.103, 0.603, 0.000)
Si (0.397, 0.103, 0.000)
Si (0.603, 0.897, 0.000)
Si (0.897, 0.397, 0.000)

---

three:
The following is a DFT calculation (PBE) of an optimized crystal structure of KCa2Si2.

Values from the calculation:
Fermi-level density of states   3.586 states/eV/cell
Space group   I4/mmm, No. 139
Crystal system   tetragonal

a = 5.212 Å, b = 5.212 Å, c = 11.332 Å
α = 90.00°, β = 90.00°, γ = 90.00°
Element x y z (fractional)
K (0.000, 0.000, 0.000)
K (0.500, 0.500, 0.500)
Ca (0.000, 0.500, 0.250)
Ca (0.000, 0.500, 0.750)
Ca (0.500, 0.000, 0.250)
Ca (0.500, 0.000, 0.750)
Si (0.000, 0.000, 0.395)
Si (0.000, 0.000, 0.605)
Si (0.500, 0.500, 0.105)
Si (0.500, 0.500, 0.895)

---

two comes first in stability; the runner-up is 0.030 eV/atom higher.

---

one:
The following is a DFT calculation (PBE) of an optimized crystal structure of KCaSi3.

Values from the calculation:
Fermi-level density of states   5.858 states/eV/cell
Space group   Pm-3m, No. 221
Crystal system   cubic

a = 5.476 Å, b = 5.476 Å, c = 5.476 Å
α = 90.00°, β = 90.00°, γ = 90.00°
Element x y z (fractional)
K (0.000, 0.000, 0.000)
Ca (0.500, 0.500, 0.500)
Si (0.000, 0.500, 0.500)
Si (0.500, 0.000, 0.500)
Si (0.500, 0.500, 0.000)

---

two:
The following is a DFT calculation (PBE) of an optimized crystal structure of KCaSi3.

Values from the calculation:
Fermi-level density of states   4.109 states/eV/cell
Space group   Pm-3m, No. 221
Crystal system   cubic

a = 5.315 Å, b = 5.315 Å, c = 5.315 Å
α = 90.00°, β = 90.00°, γ = 90.00°
Element x y z (fractional)
K (0.000, 0.000, 0.000)
Ca (0.500, 0.500, 0.500)
Si (0.000, 0.000, 0.500)
Si (0.000, 0.500, 0.000)
Si (0.500, 0.000, 0.000)

---

one comes first in stability; the runner-up is 0.437 eV/atom higher.

---

one:
The following is a DFT calculation (PBE) of an optimized crystal structure of KCa2Sm.

Values from the calculation:
Fermi-level density of states   5.827 states/eV/cell
Space group   P4/mmm, No. 123
Crystal system   tetragonal

a = 3.845 Å, b = 3.845 Å, c = 12.080 Å
α = 90.00°, β = 90.00°, γ = 90.00°
Element x y z (fractional)
K (0.000, 0.000, 0.000)
Ca (0.500, 0.500, 0.288)
Ca (0.500, 0.500, 0.712)
Sm (0.000, 0.000, 0.500)

---

two:
The following is a DFT calculation (PBE) of an optimized crystal structure of KCa2Sm.

Values from the calculation:
Fermi-level density of states   20.792 states/eV/cell
Space group   R-3m, No. 166
Crystal system   trigonal

a = 3.822 Å, b = 3.822 Å, c = 42.140 Å
α = 90.00°, β = 90.00°, γ = 120.00°
Element x y z (fractional)
K (0.000, 0.000, 0.000)
K (0.333, 0.667, 0.667)
K (0.667, 0.333, 0.333)
Ca (0.000, 0.000, 0.094)
Ca (0.000, 0.000, 0.906)
Ca (0.333, 0.667, 0.572)
Ca (0.333, 0.667, 0.761)
Ca (0.667, 0.333, 0.239)
Ca (0.667, 0.333, 0.428)
Sm (0.000, 0.000, 0.500)
Sm (0.333, 0.667, 0.167)
Sm (0.667, 0.333, 0.833)

---

one comes first in stability; the runner-up is 0.038 eV/atom higher.

---

one:
The following is a DFT calculation (PBE) of an optimized crystal structure of K3SrCa.

Values from the calculation:
Fermi-level density of states   6.042 states/eV/cell
Space group   Pm-3m, No. 221
Crystal system   cubic

a = 7.544 Å, b = 7.544 Å, c = 7.544 Å
α = 90.00°, β = 90.00°, γ = 90.00°
Element x y z (fractional)
K (0.000, 0.000, 0.500)
K (0.000, 0.500, 0.000)
K (0.500, 0.000, 0.000)
Sr (0.000, 0.000, 0.000)
Ca (0.500, 0.500, 0.500)

---

two:
The following is a DFT calculation (PBE) of an optimized crystal structure of K3SrCa.

Values from the calculation:
Fermi-level density of states   5.404 states/eV/cell
Space group   Pm-3m, No. 221
Crystal system   cubic

a = 7.344 Å, b = 7.344 Å, c = 7.344 Å
α = 90.00°, β = 90.00°, γ = 90.00°
Element x y z (fractional)
K (0.000, 0.000, 0.500)
K (0.000, 0.500, 0.000)
K (0.500, 0.000, 0.000)
Sr (0.500, 0.500, 0.500)
Ca (0.000, 0.000, 0.000)

---

two comes first in stability; the runner-up is 0.119 eV/atom higher.